[1]
Density functional theory data (PBE) for a relaxed TmTiHgPb crystal.

Computed properties:
- Crystal system: cubic
- DFT formation energy: -0.12 eV per atom
- N(E_F): 1.14 states/eV/atom

Cell lengths 5.089, 5.089, 5.089 Å; angles 60.00, 60.00, 60.00 degrees
Last column: magnetic moment on the atom in μB.
Fractional positions:
Pb 0.500 0.500 0.500  -0.02
Tm 0.750 0.750 0.750  0.16
Hg 0.000 0.000 0.000  0.01
Ti 0.250 0.250 0.250  1.34

---

[2]
Density functional theory data (PBE) for a relaxed AlCoCl2 crystal.

Computed properties:
- Crystal system: cubic
- N(E_F): 1.90 states/eV/atom
- ΔE_f (raw): 296 meV/atom
- Energy above the most stable polymorph in this dataset: 856 meV/atom

Cell lengths 4.708, 4.708, 4.708 Å; angles 60.00, 60.00, 60.00 degrees
Last column: magnetic moment on the atom in μB.
Fractional positions:
Co 0.500 0.500 0.500  1.89
Al 0.000 0.000 0.000  0.03
Cl 0.250 0.250 0.250  0.06
Cl 0.750 0.750 0.750  0.06

---

[3]
Density functional theory data (PBE) for a relaxed DyHo4Ag5 crystal.

Computed properties:
- Crystal system: tetragonal
- DFT formation energy: -0.33 eV per atom
- N(E_F): 0.44 states/eV/atom

Cell lengths 3.591, 3.591, 18.419 Å; angles 90.00, 90.00, 90.00 degrees
Fractional positions:
Dy 0.000 0.000 0.000
Ho 0.000 0.000 0.200
Ho 0.000 0.000 0.400
Ho 0.000 0.000 0.600
Ho 0.000 0.000 0.800
Ag 0.500 0.500 0.101
Ag 0.500 0.500 0.300
Ag 0.500 0.500 0.500
Ag 0.500 0.500 0.700
Ag 0.500 0.500 0.899